No. 1
Material: HoEr3Bi2
Method: DFT, PBE
State: optimized geometry

abc: 4.279 10.730 9.956
angles: 125.83 90.00 101.50
Sites, in units of the cell vectors:
Ho: 0.890 0.780 0.887
Ho: 0.110 0.220 0.113
Er: 0.312 0.624 0.514
Er: 0.944 0.888 0.558
Er: 0.639 0.278 0.798
Er: 0.361 0.722 0.202
Er: 0.056 0.112 0.442
Er: 0.688 0.376 0.486
Bi: 0.492 0.984 0.826
Bi: 0.508 0.016 0.174
Bi: 0.748 0.495 0.212
Bi: 0.252 0.505 0.788

Volume   29.9 Å³ per atom
Crystal system   monoclinic
Energy of formation   -0.449 eV/atom
Magnetization   0.00 μB per formula unit
Distance to the lowest polymorph of the same formula   109 meV/atom

No. 2
Material: HoErBi2
Method: DFT, PBE
State: optimized geometry

abc: 4.418 4.418 7.960
angles: 73.89 73.89 60.00
Sites, in units of the cell vectors:
Ho: 0.498 0.498 0.505
Er: 0.669 0.669 0.994
Bi: 0.081 0.081 0.756
Bi: 0.252 0.252 0.245

Volume   31.9 Å³ per atom
Crystal system   trigonal
Energy of formation   -0.726 eV/atom
Magnetization   0.00 μB per formula unit
Distance to the lowest polymorph of the same formula   100 meV/atom

No. 3
Material: Ho5Er5Bi6
Method: DFT, PBE
State: optimized geometry

abc: 6.333 9.123 9.123
angles: 120.07 90.00 90.00
Sites, in units of the cell vectors:
Ho: 0.750 0.333 0.666
Ho: 0.750 0.666 0.333
Ho: 0.250 0.666 0.333
Ho: 0.250 0.333 0.666
Ho: 0.000 0.242 0.242
Er: 0.000 0.757 0.000
Er: 0.000 0.000 0.757
Er: 0.500 0.758 0.758
Er: 0.500 0.243 0.000
Er: 0.500 0.000 0.243
Bi: 0.000 0.611 0.611
Bi: 0.000 0.389 0.999
Bi: 0.000 0.999 0.389
Bi: 0.500 0.389 0.389
Bi: 0.500 0.611 0.000
Bi: 0.500 0.000 0.611

Volume   28.5 Å³ per atom
Crystal system   orthorhombic
Energy of formation   -0.650 eV/atom
Magnetization   0.07 μB per formula unit

No. 4
Material: Ho4Er3Bi8
Method: DFT, PBE
State: optimized geometry

abc: 8.864 8.862 8.862
angles: 89.99 120.02 120.02
Sites, in units of the cell vectors:
Ho: 0.500 0.000 0.000
Ho: 0.000 0.500 0.000
Ho: 0.000 0.000 0.000
Ho: 0.000 0.000 0.500
Er: 0.500 0.500 0.000
Er: 0.500 0.000 0.500
Er: 0.500 0.500 0.500
Bi: 0.511 0.256 0.256
Bi: 0.000 0.745 0.255
Bi: 0.001 0.256 0.256
Bi: 0.500 0.750 0.250
Bi: 0.500 0.250 0.750
Bi: 0.999 0.744 0.744
Bi: 0.000 0.255 0.745
Bi: 0.489 0.744 0.744

Volume   32.8 Å³ per atom
Crystal system   monoclinic
Energy of formation   -0.651 eV/atom
Magnetization   0.00 μB per formula unit

No. 5
Material: Ho5Er2Bi4
Method: DFT, PBE
State: optimized geometry

abc: 3.485 8.086 14.788
angles: 121.64 96.77 90.00
Sites, in units of the cell vectors:
Ho: 0.175 0.862 0.351
Ho: 0.825 0.138 0.649
Ho: 0.139 0.225 0.278
Ho: 0.500 0.000 0.000
Ho: 0.861 0.775 0.722
Er: 0.732 0.639 0.464
Er: 0.268 0.361 0.536
Bi: 0.599 0.462 0.197
Bi: 0.051 0.790 0.102
Bi: 0.401 0.538 0.803
Bi: 0.949 0.210 0.898

Volume   31.9 Å³ per atom
Crystal system   monoclinic
Energy of formation   -0.203 eV/atom
Magnetization   0.00 μB per formula unit

No. 6
Material: HoEr5Bi4
Method: DFT, PBE
State: optimized geometry

abc: 4.364 7.643 11.447
angles: 119.92 100.99 90.00
Site moments in Bohr magnetons follow the coordinates.
Sites, in units of the cell vectors:
Ho: 0.500 0.000 0.000  0.03
Er: 0.811 0.709 0.623  0.32
Er: 0.803 0.220 0.607  0.26
Er: 0.197 0.780 0.393  0.26
Er: 0.500 0.500 0.000  0.02
Er: 0.189 0.291 0.377  0.32
Bi: 0.366 0.057 0.732  0.01
Bi: 0.938 0.654 0.875  0.00
Bi: 0.634 0.943 0.268  0.01
Bi: 0.062 0.346 0.125  0.00

Volume   32.3 Å³ per atom
Crystal system   monoclinic
Energy of formation   -0.530 eV/atom
Magnetization   1.82 μB per formula unit

No. 7
Material: HoErBi2
Method: DFT, PBE
State: optimized geometry

abc: 4.450 4.450 7.706
angles: 73.16 73.16 60.08
Sites, in units of the cell vectors:
Ho: 0.500 0.500 0.500
Er: 0.000 0.000 0.000
Bi: 0.750 0.750 0.751
Bi: 0.250 0.250 0.249

Volume   31.2 Å³ per atom
Crystal system   monoclinic
Energy of formation   -0.824 eV/atom
Magnetization   0.00 μB per formula unit
Distance to the lowest polymorph of the same formula   2 meV/atom

No. 8
Material: HoEr2Bi
Method: DFT, PBE
State: optimized geometry

abc: 3.626 3.626 10.879
angles: 80.41 80.41 60.00
Sites, in units of the cell vectors:
Ho: 0.500 0.500 0.501
Er: 0.081 0.081 0.758
Er: 0.253 0.253 0.241
Bi: 0.667 0.667 0.000

Volume   30.4 Å³ per atom
Crystal system   trigonal
Energy of formation   -0.186 eV/atom
Magnetization   0.06 μB per formula unit
Distance to the lowest polymorph of the same formula   217 meV/atom

No. 9
Material: Ho3Er4Bi8
Method: DFT, PBE
State: optimized geometry

abc: 8.857 8.859 8.859
angles: 90.01 119.98 119.98
Sites, in units of the cell vectors:
Ho: 0.500 0.500 0.000
Ho: 0.500 0.000 0.500
Ho: 0.500 0.500 0.500
Er: 0.500 0.000 0.000
Er: 0.000 0.500 0.000
Er: 0.000 0.000 0.000
Er: 0.000 0.000 0.500
Bi: 0.509 0.254 0.254
Bi: 0.000 0.745 0.255
Bi: 0.999 0.254 0.254
Bi: 0.500 0.750 0.250
Bi: 0.500 0.250 0.750
Bi: 0.001 0.746 0.746
Bi: 0.000 0.255 0.745
Bi: 0.491 0.746 0.746

Volume   32.8 Å³ per atom
Crystal system   monoclinic
Energy of formation   -0.648 eV/atom
Magnetization   0.00 μB per formula unit

No. 10
Material: LaHoEr2Bi4
Method: DFT, PBE
State: optimized geometry

abc: 6.398 6.398 7.827
angles: 114.12 114.12 90.00
Sites, in units of the cell vectors:
La: 0.938 0.938 0.000
Ho: 0.437 0.437 0.000
Er: 0.187 0.687 0.500
Er: 0.687 0.187 0.500
Bi: 0.937 0.438 0.000
Bi: 0.438 0.937 0.000
Bi: 0.192 0.192 0.510
Bi: 0.682 0.682 0.490

Volume   32.7 Å³ per atom
Crystal system   orthorhombic
Energy of formation   -0.860 eV/atom
Magnetization   0.00 μB per formula unit

No. 11
Material: La2HoErBi4
Method: DFT, PBE
State: optimized geometry

abc: 4.593 7.948 7.910
angles: 109.57 90.00 90.00
Sites, in units of the cell vectors:
La: 0.500 0.000 0.500
La: 0.000 0.500 0.500
Ho: 0.000 0.000 0.000
Er: 0.500 0.500 0.000
Bi: 0.500 0.246 0.236
Bi: 0.500 0.754 0.764
Bi: 0.000 0.255 0.765
Bi: 0.000 0.745 0.235

Volume   34.0 Å³ per atom
Crystal system   monoclinic
Energy of formation   -0.937 eV/atom
Magnetization   0.00 μB per formula unit

No. 12
Material: HoEr2MgBi4
Method: DFT, PBE
State: optimized geometry

abc: 4.411 7.733 7.723
angles: 70.29 90.00 90.00
Sites, in units of the cell vectors:
Ho: 0.000 0.500 0.500
Er: 0.000 0.000 0.000
Er: 0.500 0.000 0.500
Mg: 0.500 0.500 0.000
Bi: 0.000 0.745 0.756
Bi: 0.000 0.255 0.244
Bi: 0.500 0.750 0.248
Bi: 0.500 0.250 0.752

Volume   31.0 Å³ per atom
Crystal system   monoclinic
Energy of formation   -0.585 eV/atom
Magnetization   0.00 μB per formula unit

No. 13
Material: Ho3Er3MnBi2
Method: DFT, PBE
State: optimized geometry

abc: 4.253 8.270 8.270
angles: 60.00 90.00 90.00
Site moments in Bohr magnetons follow the coordinates.
Sites, in units of the cell vectors:
Ho: 0.000 0.233 0.767  -0.39
Ho: 0.000 0.767 0.000  -0.39
Ho: 0.000 0.000 0.233  -0.39
Er: 0.500 0.610 0.390  -0.27
Er: 0.500 0.390 0.000  -0.27
Er: 0.500 0.000 0.610  -0.27
Mn: 0.500 0.000 0.000  2.42
Bi: 0.000 0.333 0.333  -0.01
Bi: 0.000 0.667 0.667  -0.01

Volume   28.0 Å³ per atom
Crystal system   hexagonal
Energy of formation   -0.400 eV/atom
Magnetization   0.10 μB per formula unit
Distance to the lowest polymorph of the same formula   16 meV/atom

No. 14
Material: Ho3Er9Mn2Bi4
Method: DFT, PBE
State: optimized geometry

abc: 4.251 8.252 14.306
angles: 90.02 90.00 90.00
Site moments in Bohr magnetons follow the coordinates.
Sites, in units of the cell vectors:
Ho: 0.000 0.733 0.500  -0.39
Ho: 0.000 0.233 0.000  -0.39
Ho: 0.000 0.383 0.384  -0.39
Er: 0.000 0.884 0.884  -0.39
Er: 0.000 0.884 0.116  -0.39
Er: 0.000 0.383 0.617  -0.39
Er: 0.500 0.110 0.500  -0.26
Er: 0.500 0.611 0.000  -0.26
Er: 0.500 0.195 0.195  -0.27
Er: 0.500 0.695 0.695  -0.26
Er: 0.500 0.695 0.305  -0.27
Er: 0.500 0.195 0.805  -0.26
Mn: 0.500 0.999 0.000  2.38
Mn: 0.500 0.499 0.501  2.40
Bi: 0.000 0.000 0.333  -0.01
Bi: 0.000 0.500 0.833  -0.01
Bi: 0.000 0.500 0.167  -0.01
Bi: 0.000 0.000 0.667  -0.01

Volume   27.9 Å³ per atom
Crystal system   monoclinic
Energy of formation   -0.404 eV/atom
Magnetization   0.18 μB per formula unit

No. 15
Material: Ho9Er3Mn2Bi4
Method: DFT, PBE
State: optimized geometry

abc: 4.260 8.277 14.335
angles: 90.00 90.00 90.00
Site moments in Bohr magnetons follow the coordinates.
Sites, in units of the cell vectors:
Ho: 0.500 0.696 0.696  -0.27
Ho: 0.500 0.696 0.304  -0.27
Ho: 0.500 0.196 0.804  -0.27
Ho: 0.000 0.233 0.000  -0.39
Ho: 0.000 0.733 0.500  -0.39
Ho: 0.000 0.383 0.383  -0.39
Ho: 0.000 0.884 0.884  -0.39
Ho: 0.000 0.883 0.117  -0.38
Ho: 0.000 0.383 0.617  -0.39
Er: 0.500 0.110 0.500  -0.27
Er: 0.500 0.610 0.000  -0.27
Er: 0.500 0.195 0.195  -0.27
Mn: 0.500 0.999 0.001  2.44
Mn: 0.500 0.499 0.500  2.45
Bi: 0.000 0.000 0.333  -0.01
Bi: 0.000 0.500 0.834  -0.01
Bi: 0.000 0.500 0.166  -0.01
Bi: 0.000 0.000 0.666  -0.01

Volume   28.1 Å³ per atom
Crystal system   monoclinic
Energy of formation   -0.404 eV/atom
Magnetization   0.20 μB per formula unit

No. 16
Material: Ho3Er3MnBi2
Method: DFT, PBE
State: optimized geometry

abc: 8.255 8.255 4.262
angles: 90.00 90.00 120.00
Site moments in Bohr magnetons follow the coordinates.
Sites, in units of the cell vectors:
Ho: 0.000 0.609 0.500  -0.26
Ho: 0.609 0.000 0.500  -0.26
Ho: 0.391 0.391 0.500  -0.26
Er: 0.000 0.232 0.000  -0.40
Er: 0.232 0.000 0.000  -0.40
Er: 0.768 0.768 0.000  -0.40
Mn: 0.000 0.000 0.500  2.40
Bi: 0.333 0.667 0.000  -0.01
Bi: 0.667 0.333 0.000  -0.01

Volume   27.9 Å³ per atom
Crystal system   hexagonal
Energy of formation   -0.416 eV/atom
Magnetization   0.14 μB per formula unit
Distance to the lowest polymorph of the same formula   0 meV/atom

No. 17
Material: Nd2HoErBi4
Method: DFT, PBE
State: optimized geometry

abc: 4.538 7.855 7.842
angles: 109.50 90.00 90.00
Sites, in units of the cell vectors:
Nd: 0.500 0.000 0.500
Nd: 0.000 0.500 0.500
Ho: 0.000 0.000 0.000
Er: 0.500 0.500 0.000
Bi: 0.500 0.247 0.240
Bi: 0.500 0.753 0.760
Bi: 0.000 0.254 0.761
Bi: 0.000 0.746 0.239

Volume   32.9 Å³ per atom
Crystal system   monoclinic
Energy of formation   -0.884 eV/atom
Magnetization   0.00 μB per formula unit

No. 18
Material: Nd2Ho3ErBi6
Method: DFT, PBE
State: optimized geometry

abc: 4.511 9.017 10.079
angles: 102.87 102.93 90.00
Sites, in units of the cell vectors:
Nd: 0.834 0.668 0.669
Nd: 0.166 0.332 0.331
Ho: 0.500 0.500 0.000
Ho: 0.832 0.166 0.663
Ho: 0.168 0.834 0.337
Er: 0.500 0.000 0.000
Bi: 0.334 0.925 0.669
Bi: 0.665 0.589 0.329
Bi: 0.666 0.075 0.331
Bi: 0.997 0.247 0.993
Bi: 0.003 0.753 0.007
Bi: 0.335 0.411 0.671

Volume   32.4 Å³ per atom
Crystal system   monoclinic
Energy of formation   -0.865 eV/atom
Magnetization   0.00 μB per formula unit

No. 19
Material: NdHo2Er3Bi6
Method: DFT, PBE
State: optimized geometry

abc: 4.480 8.958 10.013
angles: 102.86 102.93 90.00
Sites, in units of the cell vectors:
Nd: 0.500 0.000 0.000
Ho: 0.833 0.667 0.665
Ho: 0.167 0.333 0.335
Er: 0.500 0.500 0.000
Er: 0.835 0.168 0.670
Er: 0.165 0.832 0.330
Bi: 0.330 0.916 0.660
Bi: 0.666 0.583 0.333
Bi: 0.670 0.084 0.340
Bi: 0.001 0.258 0.001
Bi: 0.999 0.742 0.999
Bi: 0.334 0.417 0.667

Volume   31.8 Å³ per atom
Crystal system   monoclinic
Energy of formation   -0.840 eV/atom
Magnetization   0.00 μB per formula unit

No. 20
Material: NdHo2ErBi4
Method: DFT, PBE
State: optimized geometry

abc: 4.500 7.787 7.786
angles: 70.51 90.00 90.00
Sites, in units of the cell vectors:
Nd: 0.500 0.500 0.000
Ho: 0.000 0.000 0.000
Ho: 0.500 0.000 0.500
Er: 0.000 0.500 0.500
Bi: 0.000 0.756 0.743
Bi: 0.000 0.244 0.257
Bi: 0.500 0.753 0.254
Bi: 0.500 0.247 0.746

Volume   32.1 Å³ per atom
Crystal system   monoclinic
Energy of formation   -0.853 eV/atom
Magnetization   0.00 μB per formula unit